[1]
Density functional theory data (PBE-GGA) for crystalline UAgSN at its relaxed geometry.

abc: 11.901 11.901 11.901
angles: 18.32 18.32 18.32
Sites, in units of the cell vectors:
U  0.126  0.126  0.126
U  0.874  0.874  0.874
Ag  0.306  0.306  0.306
Ag  0.694  0.694  0.694
S  0.410  0.410  0.410
S  0.590  0.590  0.590
N  0.191  0.191  0.191
N  0.809  0.809  0.809

## Properties
Magnetic moment in μB/cell: 2.9
E_form (uncorrected) in kJ/mol of formula units: -376
SG: R-3m (166)
D(E_F) in states/eV/f.u.: 4.3



[2]
Density functional theory data (PBE-GGA) for crystalline U2AgS2N2 at its relaxed geometry.

abc: 3.814 3.814 11.000
angles: 90.00 90.00 120.00
Sites, in units of the cell vectors:
U  0.333  0.667  0.130
U  0.667  0.333  0.870
Ag  0.000  0.000  0.500
S  0.000  0.000  0.284
S  0.000  0.000  0.716
N  0.333  0.667  0.924
N  0.667  0.333  0.076

## Properties
Magnetic moment in μB/cell: 3.0
E_form (uncorrected) in kJ/mol of formula units: -803
SG: P-3m1 (164)
D(E_F) in states/eV/f.u.: 7.7



[3]
Density functional theory data (PBE-GGA) for crystalline VAgSN2 at its relaxed geometry.

abc: 3.995 3.995 5.057
angles: 90.00 90.00 90.00
Sites, in units of the cell vectors:
V  0.000  0.000  0.000
Ag  0.500  0.500  0.500
S  0.500  0.500  0.000
N  0.000  0.500  0.500
N  0.500  0.000  0.500

## Properties
Magnetic moment in μB/cell: 0.4
E_form (uncorrected) in kJ/mol of formula units: 841
SG: P4/mmm (123)
D(E_F) in states/eV/f.u.: 3.0



[4]
Density functional theory data (PBE-GGA) for crystalline VAgSN2 at its relaxed geometry.

abc: 3.717 3.717 5.246
angles: 90.00 90.00 90.00
Sites, in units of the cell vectors:
V  0.000  0.000  0.000
Ag  0.500  0.500  0.500
S  0.000  0.000  0.500
N  0.000  0.500  0.000
N  0.500  0.000  0.000

## Properties
Magnetic moment in μB/cell: 0.5
E_form (uncorrected) in kJ/mol of formula units: 167
SG: P4/mmm (123)
D(E_F) in states/eV/f.u.: 2.5



> Which value of D(E_F) does entry 3 give?

3.0 states/eV/f.u.